Record 1
Compound: Tb2O3
Source: OQMD
Functional: GGA-PBE
Structure: optimized geometry

POSCAR file:
```
Tb2O3
1.0
5.944 0.000 0.000
-2.972 5.148 0.000
0.000 0.000 3.058
Tb O
2 3
Direct
0.667 0.333 0.000
0.333 0.667 0.000
0.000 0.493 0.500
0.493 0.000 0.500
0.507 0.507 0.500
```

## Properties
Final energy, eV per atom: -8.180
Spin magnetization, μB/cell: 0.000


Record 2
Compound: Li2ZnGaPd2Pt2
Source: OQMD
Functional: GGA-PBE
Structure: optimized geometry

POSCAR file:
```
Li2ZnGaPd2Pt2
1.0
4.275 0.000 0.000
0.000 4.275 0.000
0.000 0.000 6.040
Li Pt Pd Zn Ga
2 2 2 1 1
Direct
0.500 0.500 0.500
0.000 0.000 0.000
0.500 0.000 0.253
0.000 0.500 0.747
0.000 0.500 0.251
0.500 0.000 0.749
0.500 0.500 0.000
0.000 0.000 0.500
```

## Properties
Final energy, eV per atom: -4.498
Spin magnetization, μB/cell: 0.002


Record 3
Compound: TbLuBe
Source: OQMD
Functional: GGA-PBE
Structure: optimized geometry

POSCAR file:
```
TbLuBe
1.0
0.000 3.336 3.336
3.336 0.000 3.336
3.336 3.336 0.000
Tb Lu Be
1 1 1
Direct
0.750 0.750 0.750
0.000 0.000 0.000
0.250 0.250 0.250
```

## Properties
Final energy, eV per atom: -3.339
Spin magnetization, μB/cell: 0.005